# 1
An optimized crystal structure of La8TeOs3I4, computed with PBE-GGA.

The structure in POSCAR format:
```
La8TeOs3I4
1.0
8.7845 0.0000 0.0000
0.0000 9.5364 0.5300
-4.3923 -4.3933 6.2119
La Os I Te
8 3 4 1
Cartesian
4.3923 4.5694 3.2319
1.9793 2.4144 6.2132
0.0000 0.5738 3.5100
2.4130 2.7287 0.5287
4.3923 0.7489 3.3282
-1.9793 2.4144 6.2132
6.3716 2.7287 0.5287
0.0000 4.3943 3.4136
-2.1961 2.5716 3.3709
4.3923 4.7682 0.2650
2.1961 2.5716 3.3709
0.0000 0.0000 0.0000
2.1961 -2.1966 3.1059
-2.1961 -2.1966 3.1059
4.3923 0.0000 0.0000
0.0000 4.7682 0.2650
```

Calculated values
The mass density comes out at 7.1 Mg/m³. For the uncorrected formation energy, the calculation gives -0.845 eV/atom. The calculation puts the volume at 541 Å³/cell. For the magnetization, the calculation gives 0.00 Bohr magnetons per cell.

***

# 2
An optimized crystal structure of CaEuZnSn, computed with PBE-GGA.

The structure in POSCAR format:
```
CaEuZnSn
1.0
5.4023 0.0000 0.0000
2.7012 4.6785 0.0000
2.7012 1.5595 4.4110
Zn Ca Eu Sn
1 1 1 1
Cartesian
8.1035 4.6785 3.3082
5.4023 3.1190 2.2055
0.0000 0.0000 0.0000
2.7012 1.5595 1.1027
```

Calculated values
The mass density comes out at 5.6 Mg/m³. The formation enthalpy at 0 K is -0.524 eV per atom. The calculation puts the volume at 111 Å³/cell. For the magnetization, the calculation gives 7.08 Bohr magnetons per cell.

***

# 3
An optimized crystal structure of PrGdDy2, computed with PBE-GGA.

The structure in POSCAR format:
```
PrGdDy2
1.0
5.7256 0.0000 0.0000
2.8628 4.9585 0.0000
2.8628 1.6528 4.6749
Dy Pr Gd
2 1 1
Cartesian
8.5884 4.9585 3.5062
2.8628 1.6528 1.1687
5.7256 3.3057 2.3375
0.0000 0.0000 0.0000
```

Calculated values
The polymorph energy (0 for the lowest one) is 98 meV per atom. The mass density comes out at 7.8 Mg/m³. The formation enthalpy at 0 K is 0.114 eV per atom. The calculation puts the volume at 133 Å³/cell. For the magnetization, the calculation gives 7.95 Bohr magnetons per cell.

***

# 4
An optimized crystal structure of ZrAl2Cu5, computed with PBE-GGA.

The structure in POSCAR format:
```
ZrAl2Cu5
1.0
-3.6007 -1.5116 0.7772
2.2839 -4.3988 2.0256
0.1780 4.5220 9.6190
Al Cu Zr
4 10 2
Cartesian
-0.1396 -2.1396 5.3909
-1.3254 -1.0529 2.0111
0.1866 -0.3354 10.4108
-0.9992 0.7512 7.0310
2.2396 -3.1648 4.2202
0.0000 0.0000 0.0000
-0.9941 1.8929 9.2751
0.1074 -1.3345 8.1011
1.1026 -0.8398 3.4746
1.3593 0.9630 8.1701
-1.2462 -0.0539 4.3209
-0.1447 -3.2813 3.1469
0.2223 3.2880 7.4244
1.2309 0.0616 5.8223
1.1420 -2.1994 1.0128
0.0890 2.2610 4.8095
```

Calculated values
The polymorph energy (0 for the lowest one) is 13 meV per atom. The mass density comes out at 6.8 Mg/m³. The formation enthalpy at 0 K is -0.147 eV per atom. The calculation puts the volume at 227 Å³/cell. For the magnetization, the calculation gives 0.00 Bohr magnetons per cell.